Version w
Below is a relaxed K2HfZr2 crystal, with properties calculated at the PBE level.

Computed properties:
D(E_F), states/eV/cell: 16.54
Density, g cm⁻³: 4.96
Symmetry: P4/mbm

Cell: 9.9719 9.9719 2.9552 Å, 90.00 90.00 90.00°
Last column: nearest neighbours and their distance in Å.
Fractional positions:
K 0.1174 0.3826 0.0000  2 K 2.96, 2 Zr 3.13
K 0.3826 0.8826 0.0000  2 K 2.96, 2 Zr 3.13
K 0.6174 0.1174 0.0000  2 K 2.96, 2 Zr 3.13
K 0.8826 0.6174 0.0000  2 K 2.96, 2 Zr 3.13
Hf 0.0000 0.0000 0.0000  2 Hf 2.96
Hf 0.5000 0.5000 0.0000  2 Hf 2.96
Zr 0.1873 0.6873 0.5000  2 Zr 2.96, 2 K 3.13
Zr 0.3127 0.1873 0.5000  2 Zr 2.96, 2 K 3.13
Zr 0.6873 0.8127 0.5000  2 Zr 2.96, 2 K 3.13
Zr 0.8127 0.3127 0.5000  2 Zr 2.96, 2 K 3.13

Version x
Below is a relaxed K2HfZr2 crystal, with properties calculated at the PBE level.

Computed properties:
D(E_F), states/eV/cell: 4.83
Density, g cm⁻³: 5.24
Symmetry: I4/mmm

Cell: 6.1857 6.1857 6.1857 Å, 129.02 129.02 74.99°
Last column: nearest neighbours and their distance in Å.
Fractional positions:
K 0.1294 0.1294 0.0000  1 K 2.54
K 0.8706 0.8706 0.0000  1 K 2.54
Hf 0.5000 0.5000 0.0000  8 Zr 3.62, 10 K 3.64-3.97
Zr 0.2500 0.7500 0.5000  4 K 2.91
Zr 0.7500 0.2500 0.5000  4 K 2.91

It is version x that is the least stable of them.

Version w
Below is a relaxed La3Hf crystal, with properties calculated at the PBE level.

Computed properties:
D(E_F), states/eV/cell: 5.23
Density, g cm⁻³: 7.76
Symmetry: Pm-3m

Cell: 5.0312 5.0312 5.0312 Å, 90.00 90.00 90.00°
Last column: nearest neighbours and their distance in Å.
Fractional positions:
La 0.0000 0.0000 0.5000  4 Hf 3.56, 8 La 3.56
La 0.0000 0.5000 0.0000  4 Hf 3.56, 8 La 3.56
La 0.5000 0.0000 0.0000  4 Hf 3.56, 8 La 3.56
Hf 0.5000 0.5000 0.5000  12 La 3.56

Version x
Below is a relaxed La3Hf crystal, with properties calculated at the PBE level.

Computed properties:
D(E_F), states/eV/cell: 6.49
Density, g cm⁻³: 7.64
Symmetry: Pmm2

Cell: 3.3766 3.3846 11.3260 Å, 90.00 90.00 90.00°
Last column: nearest neighbours and their distance in Å.
Fractional positions:
La 0.0000 0.0000 0.0000  10 La 3.38-3.74
La 0.0000 0.5000 0.2935  4 Hf 3.36, 6 La 3.38-3.73
La 0.5000 0.5000 0.7464  2 Hf 3.24, 4 La 3.38
Hf 0.5000 0.0000 0.5020  6 La 3.24-3.36, 4 Hf 3.38

It is version x that is the least stable of them.